# 1
VASP calculation (PBE) on crystalline ScAs2SeBr at its relaxed geometry.

abc: 5.023 5.023 5.116
angles: 90.00 90.00 90.00
Fractional coordinates of all 5 atoms:
Sc (0.000, 0.000, 0.000)
As (0.000, 0.500, 0.500)
As (0.500, 0.000, 0.500)
Se (0.500, 0.500, 0.000)
Br (0.500, 0.500, 0.500)

Calculated values
Space group = P4/mmm, No. 123
Magnetization = 0.00 μB/cell
Formation energy without anion corrections = 0.63 eV per atom
Calculated volume = 129.1 Å³ per cell
Energy above the most stable polymorph in this dataset = 2.80 eV per formula unit

# 2
VASP calculation (PBE) on crystalline ScAsSeBr2 at its relaxed geometry.

abc: 5.035 5.035 5.776
angles: 90.00 90.00 90.00
Fractional coordinates of all 5 atoms:
Sc (0.000, 0.000, 0.000)
As (0.000, 0.000, 0.500)
Se (0.500, 0.500, 0.500)
Br (0.000, 0.500, 0.000)
Br (0.500, 0.000, 0.000)

Calculated values
Space group = P4/mmm, No. 123
Magnetization = 0.34 μB/cell
Formation energy without anion corrections = -0.32 eV per atom
Calculated volume = 146.4 Å³ per cell
Energy above the most stable polymorph in this dataset = 0.70 eV per formula unit

# 3
VASP calculation (PBE) on crystalline ScAs2SeBr at its relaxed geometry.

abc: 5.247 5.247 4.994
angles: 90.00 90.00 90.00
Fractional coordinates of all 5 atoms:
Sc (0.000, 0.000, 0.000)
As (0.000, 0.500, 0.000)
As (0.500, 0.000, 0.000)
Se (0.000, 0.000, 0.500)
Br (0.500, 0.500, 0.500)

Calculated values
Space group = P4/mmm, No. 123
Magnetization = 0.00 μB/cell
Formation energy without anion corrections = 0.07 eV per atom
Calculated volume = 137.5 Å³ per cell
Energy above the most stable polymorph in this dataset = 0.00 eV per formula unit

# 4
VASP calculation (PBE) on crystalline ScAsSeBr2 at its relaxed geometry.

abc: 5.155 5.155 5.343
angles: 90.00 90.00 90.00
Fractional coordinates of all 5 atoms:
Sc (0.000, 0.000, 0.000)
As (0.500, 0.500, 0.000)
Se (0.500, 0.500, 0.500)
Br (0.000, 0.500, 0.500)
Br (0.500, 0.000, 0.500)

Calculated values
Space group = P4/mmm, No. 123
Magnetization = 0.68 μB/cell
Formation energy without anion corrections = 0.29 eV per atom
Calculated volume = 142.0 Å³ per cell
Energy above the most stable polymorph in this dataset = 3.73 eV per formula unit